Density functional theory data (PBE with a Hubbard U) for a relaxed structure of Fe2CO.

Output
The calculation puts the raw total energy at -6.12 eV per atom. As for the energy above the most stable polymorph in this dataset: 0 meV per atom.

CIF file:
```
data_Fe2CO
_chemical_formula_sum 'Fe4 C2 O2'
_symmetry_space_group_name_H-M 'P 1'
_symmetry_Int_Tables_number 1
_cell_length_a 5.6726
_cell_length_b 5.6726
_cell_length_c 5.6726
_cell_angle_alpha 131.26
_cell_angle_beta 131.26
_cell_angle_gamma 71.41
loop_
_symmetry_equiv_pos_as_xyz
'x,y,z'
loop_
_atom_site_label
_atom_site_fract_x
_atom_site_fract_y
_atom_site_fract_z
_atom_site_occupancy
Fe1 0.1251 0.6250 0.0001 1
Fe2 0.3750 0.3751 0.5001 1
Fe3 0.6249 0.1250 0.9999 1
Fe4 0.8750 0.8749 0.4999 1
C1 0.0000 0.0000 0.0000 1
C2 0.7500 0.2500 0.5000 1
O1 0.2500 0.7500 0.5000 1
O2 0.5000 0.5000 0.0000 1
```